[1]
Compound: BaAg2SbCl8
Source: Alexandria
Functional: PBE
Structure: relaxed

Cell: 6.5064 6.5555 8.8509 Å, 82.17 84.24 86.64°
Last column: nearest neighbours and their distance in Å.
Fractional positions:
Cl1 0.8214 0.2291 0.7800  1 Sb 2.62, 1 Ag 2.74
Cl2 0.2965 0.2513 0.9655  1 Ag 2.54, 1 Sb 2.58
Cl3 0.1957 0.7859 0.7979  1 Sb 2.61, 1 Ag 2.74
Cl4 0.1786 0.7709 0.2200  1 Sb 2.62, 1 Ag 2.74
Cl5 0.3497 0.2939 0.4815  2 Ag 2.53-2.83
Cl6 0.7035 0.7487 0.0345  1 Ag 2.54, 1 Sb 2.58
Cl7 0.6503 0.7061 0.5185  2 Ag 2.53-2.83
Cl8 0.8043 0.2141 0.2021  1 Sb 2.61, 1 Ag 2.74
Ag1 0.5313 0.5314 0.2673  5 Cl 2.53-2.83
Ag2 0.4687 0.4686 0.7327  5 Cl 2.53-2.83
Sb1 0.0000 0.0000 0.0000  6 Cl 2.58-2.62
Ba1 0.0000 0.0000 0.5000  6 Cl 3.04-3.16

Properties
Formation energy (no corrections), eV/atom: -1.047
DOS(E_F), states/eV per atom: 0.3167
Total DFT energy (no corrections), eV per atom: -3.26



[2]
Compound: U2TcC
Source: Alexandria
Functional: PBE
Structure: relaxed

Cell: 3.9389 3.9389 5.4347 Å, 68.75 68.75 60.00°
Last column: nearest neighbours and their distance in Å.
Fractional positions:
U1 0.2266 0.2266 0.3203  3 C 2.44
U2 0.7734 0.7734 0.6797  3 C 2.44
C1 0.5000 0.5000 0.5000  6 U 2.44
Tc1 0.0000 0.0000 0.0000  6 U 2.77

Properties
Relative energy among the computed polymorphs, kJ/mol of formula units: 122.3
Formation enthalpy at 0 K, eV per atom: 0.27
DOS(E_F), states/eV per atom: 1.4652
Total DFT energy (no corrections), eV per atom: -10.27



[3]
Compound: YErMgSc
Source: Alexandria
Functional: PBE
Structure: relaxed

Cell: 3.3375 3.4404 10.0192 Å, 89.99 99.59 90.00°
Last column: nearest neighbours and their distance in Å.
Fractional positions:
Er1 0.0476 0.4299 0.0951  4 Sc 3.32-3.33, 4 Er 3.34-3.44, 4 Mg 3.36
Mg1 0.6666 0.9285 0.3333  4 Mg 3.34-3.44, 4 Y 3.35, 4 Er 3.36
Sc1 0.4309 0.9304 0.8618  4 Er 3.32-3.33, 4 Sc 3.34-3.44, 2 Y 3.35
Y1 0.2853 0.4297 0.5705  4 Y 3.34-3.44, 4 Mg 3.35, 2 Sc 3.35

Properties
Relative energy among the computed polymorphs, kJ/mol of formula units: 33.3
Formation enthalpy at 0 K, eV per atom: 0.11
DOS(E_F), states/eV per atom: 1.6040
Total DFT energy (no corrections), eV per atom: -4.62



[4]
Compound: SrAgSb2Pd
Source: Alexandria
Functional: PBE
Structure: relaxed

Cell: 4.6915 4.6915 6.6702 Å, 110.59 110.59 90.00°
Last column: nearest neighbours and their distance in Å.
Fractional positions:
Sb1 0.3750 0.3750 0.7499  2 Pd 2.76, 2 Ag 2.76, 1 Sb 2.89
Sb2 0.6250 0.6250 0.2501  2 Pd 2.76, 2 Ag 2.76, 1 Sb 2.89
Ag1 0.2500 0.7500 0.5000  4 Sb 2.76
Sr1 0.0000 0.0000 0.0000  8 Sb 3.62, 4 Pd 3.72, 4 Ag 3.72
Pd1 0.7500 0.2500 0.5000  4 Sb 2.76

Properties
Formation energy (no corrections), eV/atom: -0.562
DOS(E_F), states/eV per atom: 0.3038
Total DFT energy (no corrections), eV per atom: -4.16



[5]
Compound: Cs3Na7Hg2
Source: Alexandria
Functional: PBE
Structure: relaxed

Cell: 7.7105 7.7105 11.8564 Å, 71.02 71.02 60.00°
Last column: nearest neighbours and their distance in Å.
Fractional positions:
Na1 0.5679 0.0699 0.7942  2 Hg 3.16-3.19
Na2 0.4321 0.4321 0.2058  2 Hg 3.16-3.19
Na3 0.9301 0.4321 0.2058  2 Hg 3.16-3.19
Na4 0.0699 0.5679 0.7942  2 Hg 3.16-3.19
Na5 0.4321 0.9301 0.2058  2 Hg 3.16-3.19
Na6 0.5000 0.5000 0.5000  6 Na 3.92
Na7 0.5679 0.5679 0.7942  2 Hg 3.16-3.19
Cs1 0.1439 0.1439 0.5684  12 Na 4.51-4.58, 4 Cs 4.70-4.74
Cs2 0.0000 0.0000 0.0000  6 Hg 4.45, 12 Na 4.47, 2 Cs 4.74
Cs3 0.8561 0.8561 0.4316  12 Na 4.51-4.58, 4 Cs 4.70-4.74
Hg1 0.6664 0.6664 0.0009  6 Na 3.16-3.19
Hg2 0.3336 0.3336 0.9991  6 Na 3.16-3.19

Properties
Formation enthalpy at 0 K, eV per atom: -0.08
DOS(E_F), states/eV per atom: 0.4025
Total DFT energy (no corrections), eV per atom: -1.11



[6]
Compound: SrHgPb2
Source: Alexandria
Functional: PBE
Structure: relaxed

Cell: 5.6424 5.6424 5.6424 Å, 120.16 120.16 89.73°
Last column: nearest neighbours and their distance in Å.
Fractional positions:
Sr1 0.5000 0.5000 0.0000  4 Hg 3.45, 4 Pb 3.45
Hg1 0.7500 0.2500 0.5000  4 Pb 3.45, 4 Sr 3.45
Pb1 0.2500 0.7500 0.5000  4 Pb 3.45, 4 Sr 3.45
Pb2 0.0000 0.0000 0.0000  4 Pb 3.45, 4 Hg 3.45

Properties
Formation enthalpy at 0 K, eV per atom: -0.34
DOS(E_F), states/eV per atom: 0.2713
Total DFT energy (no corrections), eV per atom: -2.69



[7]
Compound: NaLiTlHg2
Source: Alexandria
Functional: PBE
Structure: relaxed

Cell: 5.1087 5.1087 5.2186 Å, 90.00 90.00 90.00°
Last column: nearest neighbours and their distance in Å.
Fractional positions:
Hg1 0.0000 0.5000 0.0000  2 Li 2.55
Hg2 0.5000 0.0000 0.0000  2 Li 2.55
Li1 0.0000 0.0000 0.0000  4 Hg 2.55, 2 Tl 2.61
Na1 0.5000 0.5000 0.5000  4 Tl 3.61, 8 Hg 3.65
Tl1 0.0000 0.0000 0.5000  2 Li 2.61

Properties
Relative energy among the computed polymorphs, kJ/mol of formula units: 32.9
Formation enthalpy at 0 K, eV per atom: -0.07
DOS(E_F), states/eV per atom: 0.5649
Total DFT energy (no corrections), eV per atom: -1.31



[8]
Compound: CaCdMo4
Source: Alexandria
Functional: PBE
Structure: relaxed

Cell: 5.4352 5.4352 5.4352 Å, 60.00 60.00 60.00°
Last column: nearest neighbours and their distance in Å.
Fractional positions:
Mo1 0.3749 0.3749 0.3749  6 Mo 2.72
Mo2 0.3749 0.3749 0.8753  6 Mo 2.72
Mo3 0.3749 0.8753 0.3749  6 Mo 2.72
Mo4 0.8753 0.3749 0.3749  6 Mo 2.72
Cd1 0.0000 0.0000 0.0000  12 Mo 3.19, 4 Ca 3.33
Ca1 0.7500 0.7500 0.7500  12 Mo 3.19, 4 Cd 3.33

Properties
Formation enthalpy at 0 K, eV per atom: 0.48
DOS(E_F), states/eV per atom: 1.2080
Total DFT energy (no corrections), eV per atom: -7.23



[9]
Compound: Ba2CaP
Source: Alexandria
Functional: PBE
Structure: relaxed

Cell: 9.5519 9.5519 9.5519 Å, 156.25 152.33 36.78°
Last column: nearest neighbours and their distance in Å.
Fractional positions:
Ca1 0.7500 0.2500 0.5000  4 P 3.01
Ba1 0.4005 0.4005 0.0000  2 P 3.36, 2 Ca 3.56
Ba2 0.0995 0.0995 0.0000  2 P 3.36, 2 Ca 3.56
P1 0.2500 0.7500 0.5000  4 Ca 3.01, 4 Ba 3.36

Properties
Formation enthalpy at 0 K, eV per atom: -0.49
DOS(E_F), states/eV per atom: 0.8768
Total DFT energy (no corrections), eV per atom: -3.30



[10]
Compound: Ta2FeAu
Source: Alexandria
Functional: PBE
Structure: relaxed

Cell: 4.2096 3.0411 5.3977 Å, 73.63 90.00 90.00°
Last column: nearest neighbours and their distance in Å.
Fractional positions:
Ta1 0.0000 0.9763 0.9218  4 Fe 2.64, 3 Au 2.78-2.85
Ta2 0.5000 0.2980 0.2782  1 Fe 2.34
Fe1 0.5000 0.5247 0.8271  1 Ta 2.34
Au1 0.0000 0.7010 0.4729  7 Ta 2.78-2.85, 2 Fe 2.79, 2 Au 3.04

Properties
Relative energy among the computed polymorphs, kJ/mol of formula units: 26.1
Formation enthalpy at 0 K, eV per atom: 0.04
DOS(E_F), states/eV per atom: 0.7030
Total DFT energy (no corrections), eV per atom: -8.82



[11]
Compound: TlSi2I
Source: Alexandria
Functional: PBE
Structure: relaxed

Cell: 6.0215 6.0215 8.4997 Å, 69.25 69.25 90.00°
Last column: nearest neighbours and their distance in Å.
Fractional positions:
I1 0.5000 0.5000 0.0000  4 Si 2.92
I2 0.2500 0.7500 0.5000  4 Si 2.92
Si1 0.0944 0.6250 0.2500  2 Tl 2.72, 2 I 2.92
Si2 0.6556 0.1250 0.2500  2 Tl 2.72, 2 I 2.92
Si3 0.8750 0.9056 0.7500  2 Tl 2.72, 2 I 2.92
Si4 0.3750 0.3444 0.7500  2 Tl 2.72, 2 I 2.92
Tl1 0.7500 0.2500 0.5000  4 Si 2.72
Tl2 0.0000 0.0000 0.0000  4 Si 2.72

Properties
Relative energy among the computed polymorphs, kJ/mol of formula units: 10.4
Formation energy (no corrections), eV/atom: 0.869
DOS(E_F), states/eV per atom: 0.9621
Total DFT energy (no corrections), eV per atom: -2.82



[12]
Compound: TaRe3Sb
Source: Alexandria
Functional: PBE
Structure: relaxed

Cell: 4.8225 4.8225 4.8225 Å, 90.00 90.00 90.00°
Last column: nearest neighbours and their distance in Å.
Fractional positions:
Sb1 0.5000 0.5000 0.5000  12 Re 3.41
Re1 0.0000 0.5000 0.0000  2 Ta 2.41
Re2 0.0000 0.0000 0.5000  2 Ta 2.41
Re3 0.5000 0.0000 0.0000  2 Ta 2.41
Ta1 0.0000 0.0000 0.0000  6 Re 2.41

Properties
Relative energy among the computed polymorphs, kJ/mol of formula units: 0.0
Formation energy (no corrections), eV/atom: 2.200
DOS(E_F), states/eV per atom: 1.0958
Total DFT energy (no corrections), eV per atom: -8.46